Record 1
The following is a PBE calculation of a geometry-optimized Sr2CrCd structure, from the Alexandria database.

a b c (Å): 5.7431 5.7431 3.9852
angles (deg): 90.00 90.00 90.23
Closest atoms and distances in Å follow each position.
Sites, in units of the cell vectors:
Sr: 0.0000 0.5000 0.0000  4 Cd 3.50, 4 Cr 3.50
Sr: 0.5000 0.0000 0.0000  4 Cr 3.50, 4 Cd 3.50
Cr: 0.0000 0.0000 0.5000  8 Sr 3.50
Cd: 0.5000 0.5000 0.5000  8 Sr 3.50

Values from the calculation:
D(E_F): 1.02 states/eV/atom
energy: -3.239 eV/atom
calculated formation energy: 5.452 kcal/mol of atoms

Record 2
The following is a PBE calculation of a geometry-optimized ZrNi5 structure, from the Alexandria database.

a b c (Å): 4.7445 4.7445 4.7445
angles (deg): 60.00 60.00 60.00
Closest atoms and distances in Å follow each position.
Sites, in units of the cell vectors:
Zr: 0.0000 0.0000 0.0000  16 Ni 2.78-2.91
Ni: 0.3760 0.3760 0.3760  6 Ni 2.35-2.39
Ni: 0.3760 0.3760 0.8720  6 Ni 2.35-2.39
Ni: 0.3760 0.8720 0.3760  6 Ni 2.35-2.39
Ni: 0.7500 0.7500 0.7500  12 Ni 2.78, 4 Zr 2.91
Ni: 0.8720 0.3760 0.3760  6 Ni 2.35-2.39

Values from the calculation:
D(E_F): 1.30 states/eV/atom
energy: -6.559 eV/atom
calculated formation energy: -7.301 kcal/mol of atoms

> What is the energy in the first record?

-3.239 eV/atom

> Among the records above, which one has the lowest energy?

ZrNi5